Entry 1:
Entry from the Open Quantum Materials Database: an optimized crystal structure of YLuSi2Os (PBE-GGA).

V, Å³/atom: 19.242
Final energy, eV/atom: -7.43
Crystal system: monoclinic

Geometry as CIF:
```
data_YLuSi2Os
_chemical_formula_sum 'Y4 Lu4 Si8 Os4'
_cell_length_a 10.500
_cell_length_b 4.207
_cell_length_c 9.903
_cell_angle_alpha 90.00
_cell_angle_beta 118.40
_cell_angle_gamma 90.00
_space_group_name_H-M_alt 'C 1 2/m 1'
_space_group_IT_number 12
_space_group_name_Hall '-C 2y'
loop_
_atom_site_label
_atom_site_type_symbol
_atom_site_fract_x
_atom_site_fract_y
_atom_site_fract_z
Y1 Y 0.187 0.000 0.110
Lu1 Lu 0.005 0.000 0.676
Si1 Si 0.005 0.500 0.874
Si2 Si 0.141 0.500 0.560
Os1 Os 0.232 0.500 0.374
```

---

Entry 2:
Entry from the Open Quantum Materials Database: an optimized crystal structure of Lu2Sn2Os (PBE-GGA).

V, Å³/atom: 23.243
Final energy, eV/atom: -6.12
Crystal system: monoclinic

Geometry as CIF:
```
data_Lu2Sn2Os
_chemical_formula_sum 'Lu8 Sn8 Os4'
_cell_length_a 10.731
_cell_length_b 4.396
_cell_length_c 10.877
_cell_angle_alpha 90.00
_cell_angle_beta 115.04
_cell_angle_gamma 90.00
_space_group_name_H-M_alt 'C 1 2/m 1'
_space_group_IT_number 12
_space_group_name_Hall '-C 2y'
loop_
_atom_site_label
_atom_site_type_symbol
_atom_site_fract_x
_atom_site_fract_y
_atom_site_fract_z
Lu1 Lu 0.005 0.000 0.173
Lu2 Lu 0.183 0.000 0.632
Sn1 Sn 0.039 0.500 0.388
Sn2 Sn 0.156 0.500 0.048
Os1 Os 0.217 0.500 0.822
```

---

Entry 3:
Entry from the Open Quantum Materials Database: an optimized crystal structure of LuSn2Os (PBE-GGA).

V, Å³/atom: 21.226
Final energy, eV/atom: -5.83
Crystal system: cubic

Geometry as CIF:
```
data_LuSn2Os
_chemical_formula_sum 'Lu4 Sn8 Os4'
_cell_length_a 6.977
_cell_length_b 6.977
_cell_length_c 6.977
_cell_angle_alpha 90.00
_cell_angle_beta 90.00
_cell_angle_gamma 90.00
_space_group_name_H-M_alt 'F -4 3 m'
_space_group_IT_number 216
_space_group_name_Hall 'F -4 2 3'
loop_
_atom_site_label
_atom_site_type_symbol
_atom_site_fract_x
_atom_site_fract_y
_atom_site_fract_z
Lu1 Lu 0.000 0.000 0.000
Sn1 Sn 0.000 0.000 0.500
Sn2 Sn 0.250 0.250 0.250
Os1 Os 0.250 0.250 0.750
```